Entry 1:
Entry from Alexandria via LeMat-Bulk: a relaxed Li6Sn2Sb crystal (PBE).

```
Li6Sn2Sb
1.0
4.8566 0.0000 -0.1949
0.0000 8.0202 0.0000
-2.2268 -4.0101 4.7898
Sn Li Sb
2 6 1
Direct
0.6618 0.6620 0.3241
0.3382 0.3380 0.6759
0.8390 0.5367 0.6774
0.1610 0.8593 0.3226
0.5000 0.1854 0.0000
0.8390 0.1407 0.6774
0.1610 0.4633 0.3226
0.5000 0.8146 0.0000
0.0000 0.0000 0.0000
```

uncorrected energy	-2.992	eV per atom
polymorph energy (0 for the lowest one)	0.28	eV per formula unit
formation energy (no corrections)	-0.37	eV/atom

---

Entry 2:
Entry from Alexandria via LeMat-Bulk: a relaxed BaNiS2 crystal (PBE).

```
BaNiS2
1.0
0.0000 3.5403 3.5403
3.5403 0.0000 3.5403
3.5403 3.5403 0.0000
S Ni Ba
2 1 1
Direct
0.2500 0.2500 0.2500
0.7500 0.7500 0.7500
0.0000 0.0000 0.0000
0.5000 0.5000 0.5000
```

uncorrected energy	-4.350	eV per atom
formation energy (no corrections)	-0.36	eV/atom

---

Entry 3:
Entry from Alexandria via LeMat-Bulk: a relaxed LiGeAsIr crystal (PBE).

```
LiGeAsIr
1.0
-0.8910 4.2811 -0.3899
-3.6880 1.6407 1.7263
0.1982 2.6131 3.5222
As Ge Li Ir
1 1 1 1
Direct
0.2500 0.2500 0.2500
0.7500 0.7500 0.7500
0.5000 0.5000 0.5000
0.0000 0.0000 0.0000
```

uncorrected energy	-5.311	eV per atom
ΔE_f	-0.300	eV/atom

---

Entry 4:
Entry from Alexandria via LeMat-Bulk: a relaxed NaSr2Cd9 crystal (PBE).

```
NaSr2Cd9
1.0
-0.0293 6.1274 0.7134
-4.4488 2.6982 3.3140
3.9880 2.0245 9.4468
Cd Na Sr
9 1 2
Direct
0.3349 0.3349 0.9952
0.5866 0.5866 0.7498
0.5866 0.0769 0.7498
0.6651 0.6651 0.0048
0.0769 0.5866 0.7498
0.5000 0.5000 0.5000
0.9231 0.4134 0.2502
0.4134 0.9231 0.2502
0.4134 0.4134 0.2502
0.0000 0.0000 0.0000
0.1419 0.1419 0.5744
0.8581 0.8581 0.4256
```

uncorrected energy	-1.264	eV per atom
ΔE_f	-0.187	eV/atom

---

Entry 5:
Entry from Alexandria via LeMat-Bulk: a relaxed Ni8Pb crystal (PBE).

```
Ni8Pb
1.0
-3.8689 3.8689 1.8306
3.8689 -3.8689 1.8306
3.8689 3.8689 -1.8306
Ni Pb
8 1
Direct
0.6772 0.3228 0.0000
0.0000 0.6562 0.6562
0.6562 0.0000 0.6562
0.0000 0.3438 0.3438
0.3228 0.3228 0.6456
0.3438 0.0000 0.3438
0.3228 0.6772 0.0000
0.6772 0.6772 0.3544
0.0000 0.0000 0.0000
```

uncorrected energy	-5.435	eV per atom
ΔE_f	0.116	eV/atom

---

Entry 6:
Entry from Alexandria via LeMat-Bulk: a relaxed Pr6Tl2In crystal (PBE).

```
Pr6Tl2In
1.0
-2.5642 0.5405 -4.6987
-4.2046 -6.1525 1.5868
-2.1393 7.4962 5.1048
Tl Pr In
2 6 1
Direct
0.6663 0.6665 0.3329
0.3337 0.3335 0.6671
0.8336 0.5844 0.6674
0.5000 0.2488 0.0000
0.1664 0.4156 0.3326
0.5000 0.7512 0.0000
0.1664 0.9170 0.3326
0.8336 0.0830 0.6674
0.0000 0.0000 0.0000
```

uncorrected energy	-4.099	eV per atom
polymorph energy (0 for the lowest one)	1.86	eV per formula unit
ΔE_f	-0.083	eV/atom

---

Entry 7:
Entry from Alexandria via LeMat-Bulk: a relaxed Y6In5Au crystal (PBE).

```
Y6In5Au
1.0
1.1267 -4.3500 2.7817
2.3988 -3.3807 -6.2581
7.8962 0.5726 2.7174
Y Au In
6 1 5
Direct
0.8377 0.2463 0.3246
0.5000 0.2418 0.0000
0.1623 0.2463 0.6754
0.5000 0.7582 0.0000
0.1623 0.7537 0.6754
0.8377 0.7537 0.3246
0.0000 0.0000 0.0000
0.6677 0.0000 0.6645
0.6686 0.5000 0.6628
0.3323 0.0000 0.3355
0.0000 0.5000 0.0000
0.3314 0.5000 0.3372
```

uncorrected energy	-5.187	eV per atom
ΔE_f	-0.541	eV/atom

---

Entry 8:
Entry from Alexandria via LeMat-Bulk: a relaxed MnAg2Se crystal (PBE).

```
MnAg2Se
1.0
3.4333 0.0000 0.0000
0.0000 3.4672 0.0655
0.0000 1.6640 6.5164
Ag Mn Se
2 1 1
Direct
0.5000 0.1834 0.2592
0.0000 0.7961 0.0401
0.0000 0.5537 0.5150
0.5000 0.9667 0.6858
```

uncorrected energy	-4.557	eV per atom
formation energy (no corrections)	0.03	eV/atom

---

Entry 9:
Entry from Alexandria via LeMat-Bulk: a relaxed HfSeS2 crystal (PBE).

```
HfSeS2
1.0
6.8750 0.0000 0.0000
0.0000 6.8750 0.0000
3.4375 3.4375 5.1939
Se S Hf
2 4 2
Direct
0.2500 0.7500 0.5000
0.5000 0.5000 0.0000
0.7215 0.1250 0.2500
0.0285 0.6250 0.2500
0.8750 0.9715 0.7500
0.3750 0.2785 0.7500
0.0000 0.0000 0.0000
0.7500 0.2500 0.5000
```

uncorrected energy	-5.778	eV per atom
formation energy (no corrections)	-0.35	eV/atom

---

Entry 10:
Entry from Alexandria via LeMat-Bulk: a relaxed Er2TlHg6 crystal (PBE).

```
Er2TlHg6
1.0
3.4884 -0.1169 -0.5190
-0.3691 7.2544 -4.1156
-0.4800 0.3084 9.0546
Er Hg Tl
2 6 1
Direct
0.8453 0.3518 0.7036
0.1547 0.6482 0.2964
0.5000 0.3227 0.0000
0.5000 0.6773 0.0000
0.6797 0.9992 0.3496
0.3203 0.0008 0.6504
0.3203 0.6496 0.6504
0.6797 0.3504 0.3496
0.0000 0.0000 0.0000
```

uncorrected energy	-1.688	eV per atom
ΔE_f	-0.210	eV/atom

---

Entry 11:
Entry from Alexandria via LeMat-Bulk: a relaxed FeCoRu2 crystal (PBE).

```
FeCoRu2
1.0
2.6642 0.0000 0.0000
0.0000 3.6498 0.0000
0.0000 0.0000 5.1999
Co Ru Fe
1 2 1
Direct
0.0000 0.0000 0.5108
0.0000 0.0000 0.9991
0.5000 0.5000 0.2558
0.5000 0.5000 0.7342
```

uncorrected energy	-8.405	eV per atom
polymorph energy (0 for the lowest one)	0.04	eV per formula unit
ΔE_f	0.125	eV/atom

---

Entry 12:
Entry from Alexandria via LeMat-Bulk: a relaxed LiErPbCl6 crystal (PBE).

```
LiErPbCl6
1.0
6.7309 0.0000 0.0000
-3.3654 5.8291 0.0000
0.0000 0.0000 12.6249
Li Er Cl Pb
2 2 12 2
Direct
0.3333 0.6667 0.2500
0.6667 0.3333 0.7500
0.6667 0.3333 0.2500
0.3333 0.6667 0.7500
0.6444 0.0024 0.8661
0.6444 0.6420 0.6339
0.0024 0.3580 0.1339
0.3580 0.0024 0.6339
0.3580 0.3556 0.8661
0.9976 0.3556 0.6339
0.3556 0.3580 0.3661
0.6420 0.6444 0.1339
0.0024 0.6444 0.3661
0.3556 0.9976 0.1339
0.9976 0.6420 0.8661
0.6420 0.9976 0.3661
0.0000 0.0000 0.5000
0.0000 0.0000 0.0000
```

uncorrected energy	-4.164	eV per atom
formation energy (no corrections)	-1.80	eV/atom

---

Entry 13:
Entry from Alexandria via LeMat-Bulk: a relaxed NdZrP2 crystal (PBE).

```
NdZrP2
1.0
3.8542 0.0000 0.0000
1.9271 3.3378 0.0000
1.9271 1.1126 6.8247
Zr P Nd
1 2 1
Direct
0.6701 0.6701 0.9897
0.2598 0.2598 0.2207
0.0742 0.0742 0.7774
0.4959 0.4959 0.5122
```

uncorrected energy	-7.362	eV per atom
polymorph energy (0 for the lowest one)	0.44	eV per formula unit
ΔE_f	-1.328	eV/atom

---

Entry 14:
Entry from Alexandria via LeMat-Bulk: a relaxed Rb2InAg2 crystal (PBE).

```
Rb2InAg2
1.0
6.5305 0.0000 0.0000
0.0000 6.2270 0.0000
0.0000 -3.1135 9.0422
Rb In Ag
4 2 4
Direct
0.2500 0.2092 0.4184
0.7500 0.7908 0.5816
0.7500 0.4236 0.8471
0.2500 0.5764 0.1529
0.5000 0.0000 0.0000
0.0000 0.0000 0.0000
0.2500 0.1486 0.7892
0.2500 0.6406 0.7892
0.7500 0.8514 0.2108
0.7500 0.3594 0.2108
```

uncorrected energy	-2.043	eV per atom
polymorph energy (0 for the lowest one)	0.38	eV per formula unit
ΔE_f	0.033	eV/atom

---

Entry 15:
Entry from Alexandria via LeMat-Bulk: a relaxed LiSO4 crystal (PBE).

```
LiSO4
1.0
4.3954 0.3759 0.0000
-0.3807 4.3746 0.0000
-2.0074 -2.3752 8.0087
O Li S
8 2 2
Direct
0.0090 0.8621 0.1461
0.7153 0.9881 0.3509
0.6371 0.2841 0.1461
0.2847 0.0119 0.6491
0.9910 0.1379 0.8539
0.1356 0.3628 0.3509
0.8644 0.6372 0.6491
0.3629 0.7160 0.8539
0.3738 0.6238 0.2477
0.6262 0.3762 0.7523
0.1257 0.8757 0.7514
0.8743 0.1243 0.2486
```

uncorrected energy	-5.637	eV per atom
polymorph energy (0 for the lowest one)	0.29	eV per formula unit
formation energy (no corrections)	-1.32	eV/atom

---

Entry 16:
Entry from Alexandria via LeMat-Bulk: a relaxed AlCrRh2 crystal (PBE).

```
AlCrRh2
1.0
-2.4209 0.8791 -1.1425
-0.5070 -2.6096 -0.9337
-3.2545 -1.4391 5.7891
Cr Rh Al
1 2 1
Direct
0.5000 0.5000 0.7479
0.5000 0.5000 0.2740
0.0000 0.0000 0.9786
0.0000 0.0000 0.4997
```

uncorrected energy	-7.298	eV per atom
ΔE_f	-0.281	eV/atom

---

Entry 17:
Entry from Alexandria via LeMat-Bulk: a relaxed Nd2ZrS4 crystal (PBE).

```
Nd2ZrS4
1.0
-0.7208 -2.6296 -6.4824
-4.7088 -4.0801 2.1787
-4.9722 5.9643 0.4231
S Nd Zr
8 4 2
Direct
0.9742 0.2500 0.6150
0.9842 0.2500 0.1243
0.0158 0.7500 0.8757
0.5024 0.4959 0.2539
0.4976 0.9959 0.7461
0.0258 0.7500 0.3850
0.4976 0.5041 0.7461
0.5024 0.0041 0.2539
0.2823 0.2500 0.4477
0.7053 0.7500 0.0559
0.2947 0.2500 0.9441
0.7177 0.7500 0.5523
0.7732 0.2500 0.8203
0.2268 0.7500 0.1797
```

uncorrected energy	-6.581	eV per atom
formation energy (no corrections)	-1.64	eV/atom

---

Entry 18:
Entry from Alexandria via LeMat-Bulk: a relaxed Ru2PtO2 crystal (PBE).

```
Ru2PtO2
1.0
-3.0508 -2.1076 1.3395
2.0622 -0.9337 3.2278
-1.9216 1.7208 4.1332
O Pt Ru
2 1 2
Direct
0.6530 0.6530 0.6940
0.3470 0.3470 0.3060
0.0000 0.0000 0.0000
0.7500 0.2500 0.5000
0.2500 0.7500 0.5000
```

uncorrected energy	-6.668	eV per atom
polymorph energy (0 for the lowest one)	0.00	eV per formula unit
formation energy (no corrections)	0.23	eV/atom

---

Entry 19:
Entry from Alexandria via LeMat-Bulk: a relaxed LiDy5Hg8 crystal (PBE).

```
LiDy5Hg8
1.0
7.2875 0.0000 -2.5321
-3.6237 6.2987 -2.5914
-0.0402 0.0000 7.7148
Hg Dy Li
8 5 1
Direct
0.8271 0.2544 0.4036
0.6220 0.8894 0.8834
0.1492 0.7456 0.5727
0.9939 0.1106 0.7326
0.1166 0.7387 0.0061
0.5964 0.4236 0.8508
0.4273 0.5764 0.1729
0.2674 0.2613 0.3780
0.8856 0.8561 0.2638
0.4077 0.1439 0.0295
0.5000 0.0000 0.5000
0.7362 0.6218 0.5923
0.9705 0.3782 0.1144
0.2500 0.5000 0.7500
```

uncorrected energy	-2.346	eV per atom
ΔE_f	-0.393	eV/atom

---

Entry 20:
Entry from Alexandria via LeMat-Bulk: a relaxed KLi2Cu crystal (PBE).

```
KLi2Cu
1.0
5.5391 -0.0804 0.0000
1.7858 5.2440 0.0000
-3.6625 -2.5818 3.2572
K Li Cu
1 2 1
Direct
0.7500 0.2500 0.5000
0.5000 0.5000 0.0000
0.0000 0.0000 0.0000
0.2500 0.7500 0.5000
```

uncorrected energy	-1.944	eV per atom
polymorph energy (0 for the lowest one)	0.58	eV per formula unit
ΔE_f	0.311	eV/atom